Below is a relaxed AuSeCl2 crystal, with properties calculated at the PBE-GGA level.

Calculated total energy (eV/cell): -29.05
Uncorrected formation energy (kJ per mole of atoms): 18.65
Size of the total moment (μB/f.u.): 0.000
Space-group type: R-3m (166)

Cell: 3.819 3.819 24.218 Å, 90.00 90.00 120.00°
Fractional coordinates of all 12 atoms:
Au1 0.000 0.000 0.000
Au2 0.333 0.667 0.667
Au3 0.667 0.333 0.333
Se1 0.000 0.000 0.500
Se2 0.333 0.667 0.167
Se3 0.667 0.333 0.833
Cl1 0.000 0.000 0.400
Cl2 0.000 0.000 0.600
Cl3 0.333 0.667 0.066
Cl4 0.333 0.667 0.267
Cl5 0.667 0.333 0.733
Cl6 0.667 0.333 0.934